(1)
The following is a PBE calculation of an optimized crystal structure of SrCa2NbFe, from Alexandria via LeMat-Bulk.

Lattice parameters (Å, degrees): 5.5849 5.5849 5.7856 90.00 90.00 90.00
Fractional coordinates of all 5 atoms:
1 Sr 0.0000 0.0000 0.0000
2 Ca 0.0000 0.5000 0.5000
3 Ca 0.5000 0.0000 0.5000
4 Nb 0.0000 0.0000 0.5000
5 Fe 0.5000 0.5000 0.0000

Values from the calculation:
* formation energy: 1420.1 meV/atom
* total energy: -3.423 eV per atom
* magnetization: 4.00 Bohr magnetons per cell
* crystal system: tetragonal



(2)
The following is a PBE calculation of an optimized crystal structure of CaNbFeTe2, from Alexandria via LeMat-Bulk.

Lattice parameters (Å, degrees): 5.5187 5.5187 4.2380 90.00 90.00 90.00
Fractional coordinates of all 5 atoms:
1 Ca 0.0000 0.0000 0.0000
2 Nb 0.5000 0.5000 0.5000
3 Fe 0.0000 0.0000 0.5000
4 Te 0.0000 0.5000 0.0000
5 Te 0.5000 0.0000 0.0000

Values from the calculation:
* raw formation energy: 1.473 eV/atom
* total energy: -3.891 eV per atom
* magnetization: 0.25 Bohr magnetons per cell
* crystal system: tetragonal